No. 1
Density functional theory data (PBE-GGA) for a relaxed structure of NaTl2HgPd.

Output
Final energy   -2.363 eV/atom
Total moment   0.000 μB per atom
Energy of formation   -0.0533 eV/atom
Energy relative to the lowest polymorph listed for this composition   20 meV/atom

Lattice parameters (Å, degrees): 5.3502 5.3502 5.3855 90.00 90.00 90.00
Fractional positions:
Pd  0.0000  0.0000  0.0000
Tl  0.0000  0.5000  0.0000
Tl  0.5000  0.0000  0.0000
Hg  0.0000  0.0000  0.5000
Na  0.5000  0.5000  0.5000

***

No. 2
Density functional theory data (PBE-GGA) for a relaxed structure of Ca3UPd12.

Output
Final energy   -5.523 eV/atom
Total moment   0.068 μB per atom
Energy of formation   -0.5478 eV/atom

Lattice parameters (Å, degrees): 4.1221 4.1221 16.5538 90.00 90.00 90.00
Fractional positions:
Ca  0.0000  0.0000  0.2512
Ca  0.0000  0.0000  0.7488
Ca  0.0000  0.0000  0.5000
U  0.0000  0.0000  0.0000
Pd  0.0000  0.5000  0.3743
Pd  0.5000  0.0000  0.3743
Pd  0.5000  0.0000  0.8816
Pd  0.5000  0.0000  0.1184
Pd  0.5000  0.5000  0.7520
Pd  0.5000  0.5000  0.2480
Pd  0.5000  0.5000  0.5000
Pd  0.0000  0.5000  0.1184
Pd  0.5000  0.5000  0.0000
Pd  0.5000  0.0000  0.6257
Pd  0.0000  0.5000  0.6257
Pd  0.0000  0.5000  0.8816

***

No. 3
Density functional theory data (PBE-GGA) for a relaxed structure of NaCuP3.

Output
Final energy   -2.663 eV/atom
Total moment   0.000 μB per atom
Energy of formation   1.6661 eV/atom
Energy relative to the lowest polymorph listed for this composition   1110 meV/atom

Lattice parameters (Å, degrees): 4.7910 4.7910 4.7910 90.00 90.00 90.00
Fractional positions:
Na  0.0000  0.0000  0.0000
P  0.0000  0.5000  0.0000
P  0.0000  0.0000  0.5000
P  0.5000  0.0000  0.0000
Cu  0.5000  0.5000  0.5000